Record 1
Crystalline In2ReRh at its relaxed geometry, computed with GGA-PBE.

Properties
Energy relative to the elements ... 0.3319 eV per atom
Excess energy over the best structure of this formula in the dataset ... 184 meV per atom

Cell: 2.9419 4.0203 6.0180 Å, 90.00 90.00 90.00°
Space group Pmm2 (No. 25)
Symmetry-distinct sites (fractional):
In: 0.0000 0.0000 0.0000 (multiplicity 1)
In: 0.5000 0.5000 0.3069 (multiplicity 1)
Re: 0.0000 0.0000 0.5348 (multiplicity 1)
Rh: 0.5000 0.5000 0.7714 (multiplicity 1)

Record 2
Crystalline LiCuMo at its relaxed geometry, computed with GGA-PBE.

Properties
Energy relative to the elements ... 0.2649 eV per atom
Excess energy over the best structure of this formula in the dataset ... 106 meV per atom

Cell: 2.6189 2.6189 12.2115 Å, 90.00 90.00 90.00°
Space group I4mm (No. 107)
Symmetry-distinct sites (fractional):
Li: 0.0000 0.0000 0.0000 (multiplicity 2)
Cu: 0.0000 0.0000 0.6534 (multiplicity 2)
Mo: 0.0000 0.0000 0.3158 (multiplicity 2)

Record 3
Crystalline TbYPdAu at its relaxed geometry, computed with GGA-PBE.

Properties
Energy relative to the elements ... -0.9001 eV per atom
Excess energy over the best structure of this formula in the dataset ... 0 meV per atom

Cell: 4.6633 3.7661 10.7160 Å, 90.00 90.00 90.00°
Space group Amm2 (No. 38)
Symmetry-distinct sites (fractional):
Tb: 0.0000 0.0000 0.0000 (multiplicity 2)
Y: 0.5000 0.0000 0.2761 (multiplicity 2)
Pd: 0.5000 0.0000 0.5505 (multiplicity 2)
Au: 0.0000 0.0000 0.7223 (multiplicity 2)

Record 4
Crystalline ZrMn2Br at its relaxed geometry, computed with GGA-PBE.

Properties
ΔE_f (raw) ... 0.45 eV/atom
Excess energy over the best structure of this formula in the dataset ... 405 meV per atom

Cell: 3.9701 3.9701 9.3508 Å, 90.00 90.00 90.00°
Space group I4/mmm (No. 139)
Symmetry-distinct sites (fractional):
Zr: 0.0000 0.0000 0.0000 (multiplicity 2)
Mn: 0.0000 0.5000 0.2500 (multiplicity 4)
Br: 0.0000 0.0000 0.5000 (multiplicity 2)

Record 5
Crystalline GaCu5Au at its relaxed geometry, computed with GGA-PBE.

Properties
Energy relative to the elements ... 0.0339 eV per atom
Excess energy over the best structure of this formula in the dataset ... 18 meV per atom

Cell: 8.5166 4.7686 9.6085 Å, 90.00 92.15 90.00°
Space group C2/c (No. 15)
Symmetry-distinct sites (fractional):
Ga: 0.0000 0.2347 0.2500 (multiplicity 4)
Cu: 0.0000 0.2548 0.7500 (multiplicity 4)
Cu: 0.1779 0.0130 0.5624 (multiplicity 8)
Cu: 0.2456 0.4907 0.1834 (multiplicity 8)
Au: 0.0000 0.5000 0.0000 (multiplicity 4)

Record 6
Crystalline PmCd6Pd4 at its relaxed geometry, computed with GGA-PBE.

Properties
Energy relative to the elements ... -0.3339 eV per atom

Cell: 8.7306 8.7306 3.4788 Å, 90.00 90.00 120.00°
Space group P-6m2 (No. 187)
Symmetry-distinct sites (fractional):
Pm: 0.0000 0.0000 0.0000 (multiplicity 1)
Cd: 0.1926 0.3853 0.5000 (multiplicity 3)
Cd: 0.5381 0.0761 0.0000 (multiplicity 3)
Pd: 0.3333 0.6667 0.0000 (multiplicity 1)
Pd: 0.3410 0.1705 0.5000 (multiplicity 3)

Record 7
Crystalline SmP4Ru4 at its relaxed geometry, computed with GGA-PBE.

Properties
Energy relative to the elements ... -0.6430 eV per atom

Cell: 5.9799 5.9799 7.7075 Å, 90.00 90.00 90.00°
Space group P4_2/nmc (No. 137, origin choice 2)
Symmetry-distinct sites (fractional):
Sm: 0.2500 0.7500 0.2500 (multiplicity 2)
P: 0.0388 0.2500 0.0695 (multiplicity 8)
Ru: 0.0217 0.2500 0.3723 (multiplicity 8)

Record 8
Crystalline Hf2CrSe at its relaxed geometry, computed with GGA-PBE.

Properties
ΔE_f (raw) ... 0.49 eV/atom

Cell: 4.0967 4.0967 18.7056 Å, 90.00 90.00 90.00°
Space group I-42d (No. 122)
Symmetry-distinct sites (fractional):
Hf: 0.2483 0.2500 0.1250 (multiplicity 8)
Cr: 0.0000 0.0000 0.5000 (multiplicity 4)
Se: 0.0000 0.0000 0.0000 (multiplicity 4)

Record 9
Crystalline Ti3ZnRh3 at its relaxed geometry, computed with GGA-PBE.

Properties
Energy relative to the elements ... -0.5266 eV per atom

Cell: 6.0635 5.8678 6.2622 Å, 90.00 90.74 90.00°
Space group P2/m (No. 10)
Symmetry-distinct sites (fractional):
Ti: 0.2288 0.0000 0.2738 (multiplicity 2)
Ti: 0.2440 0.0000 0.7428 (multiplicity 2)
Ti: 0.2566 0.5000 0.2449 (multiplicity 2)
Zn: 0.2260 0.5000 0.7269 (multiplicity 2)
Rh: 0.0000 0.2474 0.0000 (multiplicity 2)
Rh: 0.5000 0.2430 0.0000 (multiplicity 2)
Rh: 0.5000 0.2484 0.5000 (multiplicity 2)

Record 10
Crystalline ZnNi2As at its relaxed geometry, computed with GGA-PBE.

Properties
Energy relative to the elements ... -0.1331 eV per atom
Excess energy over the best structure of this formula in the dataset ... 81 meV per atom

Cell: 5.8776 5.8776 5.8776 Å, 90.00 90.00 90.00°
Space group Fm-3m (No. 225)
Symmetry-distinct sites (fractional):
Zn: 0.0000 0.0000 0.0000 (multiplicity 4)
Ni: 0.2500 0.2500 0.2500 (multiplicity 8)
As: 0.0000 0.0000 0.5000 (multiplicity 4)

Record 11
Crystalline Zn12Hg at its relaxed geometry, computed with GGA-PBE.

Properties
Energy relative to the elements ... 0.0806 eV per atom

Cell: 8.8280 8.8280 5.4726 Å, 90.00 90.00 90.00°
Space group I4/mmm (No. 139)
Symmetry-distinct sites (fractional):
Zn: 0.0000 0.2248 0.0000 (multiplicity 8)
Zn: 0.0000 0.3482 0.5000 (multiplicity 8)
Zn: 0.2500 0.2500 0.2500 (multiplicity 8)
Hg: 0.0000 0.0000 0.5000 (multiplicity 2)

Record 12
Crystalline Ce2ZnCo3P4 at its relaxed geometry, computed with GGA-PBE.

Properties
Energy relative to the elements ... -0.9266 eV per atom

Cell: 4.0156 4.0156 9.2343 Å, 90.00 90.00 90.00°
Space group P-4m2 (No. 115)
Symmetry-distinct sites (fractional):
Ce: 0.0000 0.5000 0.2401 (multiplicity 2)
Zn: 0.0000 0.0000 0.5000 (multiplicity 1)
Co: 0.0000 0.5000 0.8918 (multiplicity 2)
Co: 0.5000 0.5000 0.5000 (multiplicity 1)
P: 0.0000 0.0000 0.0000 (multiplicity 1)
P: 0.0000 0.5000 0.6449 (multiplicity 2)
P: 0.5000 0.5000 0.0000 (multiplicity 1)

Density of states at the Fermi level
In order: 3.52; 5.38; 4.44; 6.75; 10.73; 4.46; 9.19; 21.58; 11.01; 7.62; 10.59; 4.58
Unit: states/eV per cell
Magnetic moment
In order: 0.3; 0.0; 0.0; 6.4; 0.0; 0.0; 0.0; 0.1; 0.0; 0.0; 0.0; 0.0
Unit: μB/f.u.
Calculated volume
In order: 71; 84; 188; 147; 390; 230; 276; 314; 223; 203; 427; 149
Unit: Å³ per cell